# 1
## Nd2Y5Er (PBE)

Data for a relaxed Nd2Y5Er crystal.

Unit cell a=5.070 b=7.184 c=14.369 alpha=90.00 beta=90.00 gamma=90.00
Fractional positions:
Nd 0.500 0.248 0.625
Nd 0.500 0.752 0.375
Nd 0.500 0.252 0.125
Nd 0.500 0.748 0.875
Y 0.000 0.000 0.000
Y 0.000 0.500 0.500
Y 0.000 0.499 0.751
Y 0.000 0.501 0.249
Y 0.000 0.001 0.251
Y 0.000 0.999 0.749
Y 0.500 0.250 0.876
Y 0.500 0.750 0.124
Y 0.500 0.250 0.376
Y 0.500 0.750 0.624
Er 0.000 0.000 0.500
Er 0.000 0.500 0.000

* ρ: 5.71 Mg/m³
* crystal system: orthorhombic
* uncorrected energy: -5.781 eV/atom
* space group: Pbam

# 2
## NdY12Er6 (PBE)

Data for a relaxed NdY12Er6 crystal.

Unit cell a=8.715 b=9.407 c=9.407 alpha=69.09 beta=72.01 gamma=107.99
Fractional positions:
Nd 0.000 0.000 0.000
Y 0.524 0.842 0.265
Y 0.683 0.893 0.842
Y 0.789 0.265 0.893
Y 0.476 0.158 0.735
Y 0.317 0.107 0.158
Y 0.211 0.735 0.107
Y 0.263 0.423 0.630
Y 0.107 0.370 0.053
Y 0.160 0.053 0.577
Y 0.737 0.577 0.370
Y 0.893 0.630 0.947
Y 0.840 0.947 0.423
Er 0.421 0.473 0.210
Er 0.052 0.683 0.527
Er 0.369 0.790 0.683
Er 0.579 0.527 0.790
Er 0.948 0.317 0.473
Er 0.631 0.210 0.317

* ρ: 6.09 Mg/m³
* offset from the most stable computed form: 0 meV per atom
* crystal system: trigonal
* space group: R-3

# 3
## Nd2Y3Er7 (PBE)

Data for a relaxed Nd2Y3Er7 crystal.

Unit cell a=3.614 b=5.674 c=19.010 alpha=98.58 beta=90.00 gamma=90.00
Fractional positions:
Nd 0.000 0.853 0.707
Nd 0.000 0.147 0.293
Y 0.500 0.500 0.000
Y 0.500 0.686 0.372
Y 0.500 0.314 0.628
Er 0.000 0.411 0.822
Er 0.000 0.770 0.539
Er 0.000 0.000 0.000
Er 0.000 0.589 0.178
Er 0.500 0.071 0.141
Er 0.500 0.929 0.859
Er 0.000 0.230 0.461

* ρ: 7.44 Mg/m³
* offset from the most stable computed form: 26 meV per atom
* crystal system: orthorhombic
* space group: Cmmm

# 4
## Nd6YEr4 (PBE)

Data for a relaxed Nd6YEr4 crystal.

Unit cell a=9.945 b=9.945 c=9.945 alpha=55.75 beta=141.39 gamma=141.39
Fractional positions:
Nd 0.000 0.815 0.459
Nd 0.000 0.459 0.815
Nd 0.357 0.541 0.541
Nd 0.500 0.500 0.000
Nd 0.643 0.185 0.185
Nd 0.500 0.000 0.500
Y 0.000 0.000 0.000
Er 0.000 0.642 0.010
Er 0.368 0.358 0.358
Er 0.000 0.010 0.642
Er 0.632 0.990 0.990

* ρ: 7.09 Mg/m³
* crystal system: tetragonal
* uncorrected energy: -4.559 eV/atom
* space group: I-42m

# 5
## NdY2Er2 (PBE)

Data for a relaxed NdY2Er2 crystal.

Unit cell a=6.448 b=6.448 c=11.603 alpha=96.02 beta=96.02 gamma=128.49
Fractional positions:
Nd 0.750 0.250 0.500
Nd 0.500 0.500 0.000
Y 0.417 0.583 0.500
Y 0.167 0.833 0.000
Y 0.083 0.917 0.500
Y 0.833 0.167 0.000
Er 0.125 0.375 0.750
Er 0.625 0.375 0.250
Er 0.625 0.375 0.750
Er 0.625 0.875 0.250

* ρ: 5.95 Mg/m³
* offset from the most stable computed form: 423 meV per atom
* crystal system: orthorhombic
* space group: Fddd

# 6
## NdYEr4 (PBE)

Data for a relaxed NdYEr4 crystal.

Unit cell a=4.995 b=7.945 c=11.250 alpha=148.15 beta=89.94 gamma=108.36
Fractional positions:
Nd 0.500 0.000 0.500
Y 0.000 0.000 0.000
Er 0.833 0.667 0.502
Er 0.167 0.333 0.498
Er 0.334 0.668 0.001
Er 0.666 0.332 0.999

* ρ: 7.92 Mg/m³
* offset from the most stable computed form: 13 meV per atom
* crystal system: triclinic
* space group: P-1

# 7
## Nd2YEr5 (PBE)

Data for a relaxed Nd2YEr5 crystal.

Unit cell a=5.030 b=7.118 c=14.235 alpha=90.00 beta=90.00 gamma=90.00
Fractional positions:
Nd 0.500 0.251 0.626
Nd 0.500 0.749 0.374
Nd 0.500 0.249 0.126
Nd 0.500 0.751 0.874
Y 0.000 0.000 0.500
Y 0.000 0.500 0.000
Er 0.000 0.000 0.000
Er 0.000 0.500 0.500
Er 0.000 0.500 0.749
Er 0.000 0.500 0.251
Er 0.000 0.000 0.249
Er 0.000 0.000 0.751
Er 0.500 0.249 0.875
Er 0.500 0.751 0.125
Er 0.500 0.251 0.375
Er 0.500 0.749 0.625

* ρ: 7.91 Mg/m³
* offset from the most stable computed form: 0 meV per atom
* crystal system: orthorhombic
* space group: Pbam

# 8
## Nd7YEr2 (PBE)

Data for a relaxed Nd7YEr2 crystal.

Unit cell a=5.695 b=9.351 c=9.351 alpha=123.25 beta=90.00 gamma=90.00
Fractional positions:
Nd 0.000 0.779 0.221
Nd 0.000 0.221 0.779
Nd 0.500 0.065 0.293
Nd 0.500 0.935 0.707
Nd 0.500 0.293 0.065
Nd 0.500 0.707 0.935
Nd 0.500 0.500 0.500
Y 0.000 0.000 0.000
Er 0.500 0.705 0.295
Er 0.500 0.295 0.705

* ρ: 5.71 Mg/m³
* offset from the most stable computed form: 621 meV per atom
* crystal system: orthorhombic
* space group: Cmmm

# 9
## Nd4Y5Er (PBE)

Data for a relaxed Nd4Y5Er crystal.

Unit cell a=3.616 b=3.616 c=25.401 alpha=90.00 beta=90.00 gamma=90.00
Fractional positions:
Nd 0.000 0.000 0.198
Nd 0.000 0.000 0.399
Nd 0.000 0.000 0.601
Nd 0.000 0.000 0.802
Y 0.500 0.500 0.096
Y 0.500 0.500 0.298
Y 0.500 0.500 0.500
Y 0.500 0.500 0.702
Y 0.500 0.500 0.904
Er 0.000 0.000 0.000

* ρ: 5.94 Mg/m³
* offset from the most stable computed form: 0 meV per atom
* crystal system: tetragonal
* space group: P4/mmm

# 10
## Nd7YEr3 (PBE)

Data for a relaxed Nd7YEr3 crystal.

Unit cell a=10.224 b=10.223 c=13.242 alpha=79.29 beta=79.28 gamma=139.30
Fractional positions:
Nd 0.090 0.910 0.250
Nd 0.090 0.913 0.750
Nd 0.135 0.455 0.455
Nd 0.101 0.431 0.983
Nd 0.546 0.866 0.045
Nd 0.569 0.899 0.517
Nd 0.449 0.551 0.750
Nd 0.551 0.449 0.250
Nd 0.454 0.134 0.955
Nd 0.431 0.101 0.483
Nd 0.899 0.569 0.017
Nd 0.865 0.545 0.545
Nd 0.911 0.088 0.250
Nd 0.910 0.090 0.750
Y 0.500 0.500 0.000
Y 0.500 0.500 0.500
Er 0.018 0.498 0.750
Er 0.000 0.000 0.000
Er 0.000 0.000 0.500
Er 0.498 0.018 0.250
Er 0.502 0.982 0.750
Er 0.982 0.502 0.250

* ρ: 6.97 Mg/m³
* offset from the most stable computed form: 0 meV per atom
* crystal system: triclinic
* space group: P-1

# 11
## Nd7YEr2 (PBE)

Data for a relaxed Nd7YEr2 crystal.

Unit cell a=6.301 b=9.618 c=9.636 alpha=141.95 beta=70.90 gamma=102.65
Fractional positions:
Nd 0.903 0.501 0.199
Nd 0.097 0.499 0.801
Nd 0.700 0.496 0.598
Nd 0.300 0.504 0.402
Nd 0.399 0.999 0.201
Nd 0.601 0.001 0.799
Nd 0.500 0.500 0.000
Y 0.000 0.000 0.000
Er 0.201 0.000 0.599
Er 0.799 0.000 0.401

* ρ: 7.01 Mg/m³
* offset from the most stable computed form: 0 meV per atom
* crystal system: triclinic
* space group: P-1

# 12
## Nd3Y5Er4 (PBE)

Data for a relaxed Nd3Y5Er4 crystal.

Unit cell a=5.712 b=9.333 c=9.718 alpha=113.53 beta=72.91 gamma=72.18
Last column: magnetic moment on the atom in μB.
Fractional positions:
Nd 0.544 0.641 0.272  0.00
Nd 0.000 0.500 0.500  0.13
Nd 0.456 0.359 0.728  0.00
Y 0.733 0.930 0.605  0.00
Y 0.500 0.500 0.500  0.14
Y 0.344 0.251 0.062  0.00
Y 0.656 0.749 0.938  0.00
Y 0.267 0.070 0.395  0.00
Er 0.935 0.275 0.855  0.00
Er 0.158 0.880 0.803  0.01
Er 0.842 0.120 0.197  0.01
Er 0.065 0.725 0.145  0.00

* ρ: 6.46 Mg/m³
* offset from the most stable computed form: 248 meV per atom
* crystal system: monoclinic
* space group: C2/m

# 13
## Nd4Y3Er2 (PBE)

Data for a relaxed Nd4Y3Er2 crystal.

Unit cell a=6.224 b=5.111 c=10.826 alpha=90.01 beta=73.54 gamma=65.79
Fractional positions:
Nd 0.666 0.667 0.889
Nd 0.001 0.000 0.332
Nd 0.999 0.000 0.668
Nd 0.334 0.333 0.111
Y 0.333 0.334 0.446
Y 0.000 0.000 0.000
Y 0.667 0.666 0.554
Er 0.335 0.332 0.777
Er 0.665 0.668 0.223

* ρ: 6.55 Mg/m³
* offset from the most stable computed form: 0 meV per atom
* crystal system: monoclinic
* space group: C2/m

# 14
## Nd5YEr5 (PBE)

Data for a relaxed Nd5YEr5 crystal.

Unit cell a=6.106 b=6.106 c=11.798 alpha=90.00 beta=90.00 gamma=120.00
Fractional positions:
Nd 0.667 0.333 0.153
Nd 0.667 0.333 0.847
Nd 0.333 0.667 0.316
Nd 0.333 0.667 0.684
Nd 0.000 0.000 0.000
Y 0.333 0.667 0.000
Er 0.333 0.166 0.500
Er 0.000 0.000 0.266
Er 0.834 0.667 0.500
Er 0.834 0.166 0.500
Er 0.000 0.000 0.734

* ρ: 7.18 Mg/m³
* crystal system: hexagonal
* uncorrected energy: -4.545 eV/atom
* space group: P-6m2

# 15
## Nd5Y3Er3 (PBE)

Data for a relaxed Nd5Y3Er3 crystal.

Unit cell a=5.616 b=9.758 c=9.758 alpha=120.00 beta=90.00 gamma=90.00
Fractional positions:
Nd 0.500 0.333 0.667
Nd 0.500 0.667 0.333
Nd 0.500 0.271 0.271
Nd 0.500 0.000 0.729
Nd 0.500 0.729 0.000
Y 0.000 0.463 0.463
Y 0.000 0.537 0.000
Y 0.000 0.000 0.537
Er 0.500 0.635 0.635
Er 0.500 0.000 0.365
Er 0.500 0.365 0.000

* ρ: 5.34 Mg/m³
* offset from the most stable computed form: 468 meV per atom
* crystal system: hexagonal
* space group: P-62m

# 16
## NdY4Er3 (PBE)

Data for a relaxed NdY4Er3 crystal.

Unit cell a=3.566 b=7.959 c=10.674 alpha=81.38 beta=70.48 gamma=63.32
Fractional positions:
Y 0.000 0.752 0.748
Y 0.496 0.752 0.252
Y 0.000 0.248 0.252
Y 0.504 0.248 0.748
Nd 0.500 0.500 0.000
Er 0.500 0.000 0.500
Er 0.000 0.000 0.000
Er 0.000 0.500 0.500

* ρ: 6.52 Mg/m³
* offset from the most stable computed form: 21 meV per atom
* crystal system: orthorhombic
* space group: Pmmm

# 17
## Nd3Y8Er2 (PBE)

Data for a relaxed Nd3Y8Er2 crystal.

Unit cell a=5.698 b=7.753 c=10.758 alpha=111.12 beta=90.02 gamma=90.00
Fractional positions:
Nd 0.500 0.000 0.000
Nd 0.000 0.292 0.000
Nd 0.000 0.708 0.000
Y 0.001 0.674 0.348
Y 0.999 0.326 0.652
Y 0.000 0.135 0.271
Y 0.000 0.865 0.729
Y 0.500 0.600 0.782
Y 0.500 0.182 0.782
Y 0.500 0.818 0.218
Y 0.500 0.400 0.218
Er 0.499 0.241 0.482
Er 0.501 0.759 0.518

* ρ: 5.54 Mg/m³
* offset from the most stable computed form: 12 meV per atom
* crystal system: monoclinic
* space group: C2/m

# 18
## Nd4Y4Er3 (PBE)

Data for a relaxed Nd4Y4Er3 crystal.

Unit cell a=3.621 b=9.339 c=12.130 alpha=112.64 beta=98.58 gamma=90.00
Fractional positions:
Nd 0.642 0.464 0.284
Nd 0.358 0.179 0.716
Nd 0.358 0.536 0.716
Nd 0.642 0.821 0.284
Y 0.741 0.241 0.481
Y 0.259 0.759 0.519
Y 0.500 0.818 0.000
Y 0.500 0.182 0.000
Er 0.892 0.892 0.784
Er 0.108 0.108 0.216
Er 0.000 0.500 0.000

* ρ: 6.38 Mg/m³
* offset from the most stable computed form: 68 meV per atom
* crystal system: orthorhombic
* space group: Immm

# 19
## Nd5YEr4 (PBE)

Data for a relaxed Nd5YEr4 crystal.

Unit cell a=3.589 b=10.517 c=9.283 alpha=83.90 beta=101.15 gamma=90.00
Fractional positions:
Nd 0.811 0.598 0.622
Nd 0.858 0.230 0.716
Nd 0.142 0.770 0.284
Nd 0.500 0.500 0.000
Nd 0.189 0.402 0.378
Y 0.500 0.000 0.000
Er 0.318 0.914 0.635
Er 0.954 0.763 0.908
Er 0.682 0.086 0.365
Er 0.046 0.237 0.092

* ρ: 7.19 Mg/m³
* crystal system: monoclinic
* uncorrected energy: -4.709 eV/atom
* space group: C2/m

# 20
## Nd12Y3Er (PBE)

Data for a relaxed Nd12Y3Er crystal.

Unit cell a=5.165 b=5.165 c=20.595 alpha=90.00 beta=90.00 gamma=90.00
Fractional positions:
Nd 0.500 0.500 0.000
Nd 0.500 0.500 0.249
Nd 0.500 0.500 0.500
Nd 0.500 0.500 0.751
Nd 0.500 0.000 0.124
Nd 0.500 0.000 0.375
Nd 0.500 0.000 0.625
Nd 0.500 0.000 0.876
Nd 0.000 0.500 0.124
Nd 0.000 0.500 0.375
Nd 0.000 0.500 0.625
Nd 0.000 0.500 0.876
Y 0.000 0.000 0.249
Y 0.000 0.000 0.500
Y 0.000 0.000 0.751
Er 0.000 0.000 0.000

* ρ: 6.54 Mg/m³
* crystal system: tetragonal
* uncorrected energy: -5.061 eV/atom
* space group: P4/mmm